## SrCo2P2O8 (PBE with a Hubbard U)

Data for a geometry-optimized SrCo2P2O8 structure.

Computed properties:
SG	P-1
uncorrected energy	-6.9333	eV per atom
spin magnetization	0.462	μB/atom

abc: 5.4831 6.6791 9.2046
angles: 110.27 101.09 98.29
Sites, in units of the cell vectors:
O 0.7552 0.5065 0.8741
O 0.6701 0.9517 0.1160
O 0.8425 0.6923 0.2341
O 0.4848 0.7711 0.4121
O 0.5480 0.3879 0.3156
O 0.2448 0.4935 0.1259
O 0.1513 0.9807 0.1991
O 0.8804 0.0885 0.4018
O 0.3299 0.0483 0.8840
O 0.8487 0.0193 0.8009
O 0.4520 0.6121 0.6844
O 0.5152 0.2289 0.5879
O 0.1188 0.4506 0.3656
O 0.8812 0.5494 0.6344
O 0.1196 0.9115 0.5982
O 0.1575 0.3077 0.7659
Co 0.4966 0.9074 0.6507
Co 0.1403 0.3518 0.5583
Co 0.8597 0.6482 0.4417
Co 0.5034 0.0926 0.3493
P 0.1089 0.0756 0.7650
P 0.6583 0.4731 0.6994
P 0.3417 0.5269 0.3006
P 0.8911 0.9244 0.2350
Sr 0.2462 0.7023 0.9456
Sr 0.7538 0.2977 0.0544